Entry from Alexandria: an optimized crystal structure of V2HO (PBE+U).

- Fermi-level density of states: 10.52 states/eV/cell
- Energy relative to the lowest polymorph listed for this composition: 0.802 eV per atom
- Calculated volume: 9.2 Å³/atom

```
data_V2HO
_chemical_formula_sum 'V8 H4 O4'
_cell_length_a 5.2705
_cell_length_b 5.2705
_cell_length_c 5.2705
_cell_angle_alpha 90.00
_cell_angle_beta 90.00
_cell_angle_gamma 90.00
_space_group_name_H-M_alt 'F m -3 m'
_space_group_IT_number 225
_space_group_name_Hall '-F 4 2 3'
loop_
_atom_site_label
_atom_site_type_symbol
_atom_site_fract_x
_atom_site_fract_y
_atom_site_fract_z
V1 V 0.2500 0.2500 0.2500
H1 H 0.0000 0.0000 0.0000
O1 O 0.0000 0.0000 0.5000
```